Y2HfCuCl: optimized geometry, PBE.

Results
D(E_F): 0.831 states/eV per atom
Uncorrected formation energy: 100 meV per atom
Spin magnetization: 0.00 Bohr magnetons per cell
Polymorph energy (0 for the lowest one): 0.085 eV/atom
Total energy: -5.66 eV/atom
Mass density: 6.3 g cm⁻³

Lattice parameters (Å, degrees): 5.2069 5.2069 4.4137 90.00 90.00 90.00
With the nearest neighbours (Å) after each atom.
Space group P4/mmm (No. 123)
Asymmetric unit:
Y 0.0000 0.5000 0.0000  2 Cl 2.60
Hf 0.0000 0.0000 0.5000  8 Y 3.41, 4 Cu 3.68
Cu 0.5000 0.5000 0.5000  2 Cl 2.21
Cl 0.5000 0.5000 0.0000  2 Cu 2.21